La2AlH2 | meta-GGA SCAN | single point on PBEsol structure

Computed properties:
- crystal system = tetragonal
- uncorrected energy (eV per atom) = -20.764
- density (Mg/m³) = 5.3

Cell lengths 3.9502, 3.9502, 6.7919 Å; angles 106.91, 106.91, 90.00 degrees
Closest atoms and distances in Å follow each position.
Sites, in units of the cell vectors:
La (0.3554, 0.3554, 0.7107)  4 H 2.37
La (0.6446, 0.6446, 0.2893)  4 H 2.37
H (0.2500, 0.7500, 0.5000)  4 La 2.37
H (0.7500, 0.2500, 0.5000)  4 La 2.37
Al (0.0000, 0.0000, 0.0000)  8 La 3.32, 8 H 3.67